This record from the Alexandria database describes an optimized crystal structure of Ta4NbH10. The functional is PBE.

The space group is I4/m (No. 87) and the conventional cell measures 7.164, 7.164 and 4.533 Å, with angles of 90.00, 90.00 and 90.00 degrees. The inequivalent atoms are Ta at (0.100, 0.300, 0.000), Nb at (0.000, 0.000, 0.500), H at (0.000, 0.500, 0.250) and H at (0.101, 0.798, 0.248).

The calculated density is 11.80 Mg/m³. For the total energy, the calculation gives -6.220 eV per atom.



This record from the Alexandria database describes an optimized crystal structure of TaNb2H. The functional is PBE.

The space group is Fd-3m (No. 227, origin choice 2) and the conventional cell measures 7.986, 7.986 and 7.986 Å, with angles of 90.00, 90.00 and 90.00 degrees. The inequivalent atoms are Ta at (0.125, 0.125, 0.125), Nb at (0.000, 0.000, 0.500) and H at (0.125, 0.125, 0.625).

The calculated density is 9.59 Mg/m³. For the total energy, the calculation gives -8.534 eV per atom. As for the energy above the most stable polymorph in this dataset: 30 meV per atom.



This record from the Alexandria database describes an optimized crystal structure of Ta2Nb2H5. The functional is PBE.

The space group is C2/m (No. 12) and the conventional cell measures 11.852, 2.897 and 5.656 Å, with angles of 90.00, 117.19 and 90.00 degrees. The inequivalent atoms are Ta at (0.121, 0.000, 0.464), Nb at (0.112, 0.500, 0.953), H at (0.000, 0.500, 0.500), H at (0.193, 0.500, 0.347) and H at (0.197, 0.000, 0.853).

The calculated density is 10.63 Mg/m³. For the total energy, the calculation gives -6.852 eV per atom.



This record from the Alexandria database describes an optimized crystal structure of Ta2NbH2. The functional is PBE.

The space group is I4/mmm (No. 139) and the conventional cell measures 3.404, 3.404 and 10.316 Å, with angles of 90.00, 90.00 and 90.00 degrees. The inequivalent atoms are Ta at (0.000, 0.000, 0.153), Nb at (0.000, 0.000, 0.500) and H at (0.000, 0.500, 0.250).

The calculated density is 12.69 Mg/m³. For the total energy, the calculation gives -8.248 eV per atom. As for the energy above the most stable polymorph in this dataset: 17 meV per atom.



This record from the Alexandria database describes an optimized crystal structure of TaNb2H. The functional is PBE.

The space group is P4/mmm (No. 123) and the conventional cell measures 2.773, 2.773 and 7.601 Å, with angles of 90.00, 90.00 and 90.00 degrees. The inequivalent atoms are Ta at (0.000, 0.000, 0.000), Nb at (0.500, 0.500, 0.316) and H at (0.000, 0.000, 0.500).

The calculated density is 10.45 Mg/m³. For the total energy, the calculation gives -8.565 eV per atom. As for the energy above the most stable polymorph in this dataset: 0 meV per atom.



This record from the Alexandria database describes an optimized crystal structure of TaNb2H. The functional is PBE.

The space group is R-3m (No. 166, hexagonal axes) and the conventional cell measures 2.8638, 2.8638 and 26.7251 Å, with angles of 90.00, 90.00 and 120.00 degrees. The inequivalent atoms are Ta at (0.0000, 0.0000, 0.0000), Nb at (0.0000, 0.0000, 0.4321) and H at (0.0000, 0.0000, 0.5000).

The calculated density is 9.65 Mg/m³. For the total energy, the calculation gives -8.404 eV per atom. As for the energy above the most stable polymorph in this dataset: 161 meV per atom.



This record from the Alexandria database describes an optimized crystal structure of Ta2NbH. The functional is PBE.

The space group is Fm-3m (No. 225) and the conventional cell measures 6.349, 6.349 and 6.349 Å, with angles of 90.00, 90.00 and 90.00 degrees. The inequivalent atoms are Ta at (0.250, 0.250, 0.250), Nb at (0.000, 0.000, 0.000) and H at (0.000, 0.000, 0.500).

The calculated density is 11.83 Mg/m³. For the total energy, the calculation gives -8.394 eV per atom. As for the energy above the most stable polymorph in this dataset: 1005 meV per atom.



This record from the Alexandria database describes an optimized crystal structure of TaNbH4. The functional is PBE.

The space group is I4_1/amd (No. 141, origin choice 2) and the conventional cell measures 4.547, 4.547 and 9.062 Å, with angles of 90.00, 90.00 and 90.00 degrees. The inequivalent atoms are Ta at (0.000, 0.250, 0.375), Nb at (0.000, 0.250, 0.875) and H at (0.246, 0.000, 0.500).

The calculated density is 9.85 Mg/m³. For the total energy, the calculation gives -6.086 eV per atom. As for the energy above the most stable polymorph in this dataset: 0 meV per atom.